Compound: LiCrBi2Se
Source: Alexandria
Functional: PBE-GGA
Structure: relaxed

a = 5.7314 Å, b = 5.7314 Å, c = 4.3768 Å
α = 90.00°, β = 90.00°, γ = 90.00°
Element x y z (fractional)
Li: 0.0000 0.0000 0.0000
Cr: 0.5000 0.5000 0.0000
Bi: 0.0000 0.5000 0.5000
Bi: 0.5000 0.0000 0.5000
Se: 0.0000 0.0000 0.5000

formation energy from raw total energies: 322 meV per atom
energy above the lowest structure with this stoichiometry: 0.68 eV per formula unit
space-group type: P4/mmm
size of the total moment: 4.22 μB/cell
theoretical density: 6.4 g cm⁻³